The following is a PBE calculation of crystalline RbCdGaS3 at its relaxed geometry, from OQMD.

Lattice parameters (Å, degrees): 7.7379 7.7379 11.1790 90.00 90.00 151.12
Last column: nearest neighbours and their distance in Å.
Element x y z (fractional)
Cd: 0.0000 0.0000 0.0000  6 S 2.70-2.94
Cd: 0.0000 0.0000 0.5000  6 S 2.70-2.94
Ga: 0.5333 0.4667 0.2500  4 S 2.26-2.39
Ga: 0.4667 0.5333 0.7500  4 S 2.26-2.39
Rb: 0.2546 0.7454 0.2500  6 S 3.37-3.47
Rb: 0.7454 0.2546 0.7500  6 S 3.37-3.47
S: 0.6117 0.3883 0.0771  1 Ga 2.26
S: 0.9391 0.0609 0.2500  2 Ga 2.39
S: 0.6117 0.3883 0.4229  1 Ga 2.26
S: 0.3883 0.6117 0.5771  1 Ga 2.26
S: 0.0609 0.9391 0.7500  2 Ga 2.39
S: 0.3883 0.6117 0.9229  1 Ga 2.26

Calculated values
V (Å³/f.u.): 161.6
Symmetry: Cmcm (63)
DFT total energy (eV per atom): -3.72